Computed, not measured: a geometry-optimized Sr2RePdI structure at the PBE level of DFT.

Its uncorrected formation energy is 0.94 eV/atom. The total DFT energy (no corrections) comes out at -17.855 eV for the cell shown.

The structure belongs to space group P4/mmm (No. 123); the cell edges are 6.1438, 6.1438 and 4.9653 Å and the angles 90.00°, 90.00° and 90.00°. Symmetry generates all atoms from Sr at (0.0000, 0.5000, 0.0000), Re at (0.0000, 0.0000, 0.5000), Pd at (0.5000, 0.5000, 0.5000) and I at (0.5000, 0.5000, 0.0000).

Computed, not measured: a geometry-optimized ReTe2PdI structure at the PBE level of DFT.

Its uncorrected formation energy is 1.30 eV/atom. As for the excess energy over the best structure of this formula in the dataset: 1.89 eV per formula unit. The total DFT energy (no corrections) comes out at -18.958 eV for the cell shown.

The structure belongs to space group P4/mmm (No. 123); the cell edges are 5.3202, 5.3202 and 5.3410 Å and the angles 90.00°, 90.00° and 90.00°. Symmetry generates all atoms from Re at (0.0000, 0.0000, 0.0000), Te at (0.0000, 0.5000, 0.5000), Pd at (0.5000, 0.5000, 0.5000) and I at (0.5000, 0.5000, 0.0000).

Computed, not measured: a geometry-optimized ReTePdI2 structure at the PBE level of DFT.

Its uncorrected formation energy is 0.98 eV/atom. As for the excess energy over the best structure of this formula in the dataset: 0.00 eV per formula unit. The total DFT energy (no corrections) comes out at -18.990 eV for the cell shown.

The structure belongs to space group P4/mmm (No. 123); the cell edges are 5.6063, 5.6063 and 5.0438 Å and the angles 90.00°, 90.00° and 90.00°. Symmetry generates all atoms from Re at (0.0000, 0.0000, 0.0000), Te at (0.0000, 0.0000, 0.5000), Pd at (0.5000, 0.5000, 0.5000) and I at (0.0000, 0.5000, 0.0000).

Computed, not measured: a geometry-optimized ReTePdI2 structure at the PBE level of DFT.

Its uncorrected formation energy is 1.25 eV/atom. As for the excess energy over the best structure of this formula in the dataset: 1.38 eV per formula unit. The total DFT energy (no corrections) comes out at -17.612 eV for the cell shown.

The structure belongs to space group P4/mmm (No. 123); the cell edges are 5.3819, 5.3819 and 5.4820 Å and the angles 90.00°, 90.00° and 90.00°. Symmetry generates all atoms from Re at (0.0000, 0.0000, 0.0000), Te at (0.5000, 0.5000, 0.0000), Pd at (0.5000, 0.5000, 0.5000) and I at (0.0000, 0.5000, 0.5000).

Computed, not measured: a geometry-optimized ReTe2PdI structure at the PBE level of DFT.

Its uncorrected formation energy is 0.92 eV/atom. As for the excess energy over the best structure of this formula in the dataset: 0.00 eV per formula unit. The total DFT energy (no corrections) comes out at -20.850 eV for the cell shown.

The structure belongs to space group P4/mmm (No. 123); the cell edges are 5.0971, 5.0971 and 5.8490 Å and the angles 90.00°, 90.00° and 90.00°. Symmetry generates all atoms from Re at (0.0000, 0.0000, 0.0000), Te at (0.0000, 0.5000, 0.0000), Pd at (0.5000, 0.5000, 0.5000) and I at (0.0000, 0.0000, 0.5000).

Computed, not measured: a geometry-optimized VRePd2I structure at the PBE level of DFT.

Its uncorrected formation energy is 1.84 eV/atom. The total DFT energy (no corrections) comes out at -24.323 eV for the cell shown.

The structure belongs to space group P4/mmm (No. 123); the cell edges are 4.8529, 4.8529 and 4.8519 Å and the angles 90.00°, 90.00° and 90.00°. Symmetry generates all atoms from V at (0.0000, 0.0000, 0.0000), Re at (0.5000, 0.5000, 0.0000), Pd at (0.0000, 0.5000, 0.5000) and I at (0.0000, 0.0000, 0.5000).